BaTc2Ir at its PBEsol-relaxed geometry, computed with meta-GGA SCAN.

The space group is P4/mmm. For the energy of formation, the calculation gives 1435 meV per atom. The calculation puts the excess energy over the best structure of this formula in the dataset at 78 meV/atom. Its total magnetization is 4.1 μB/f.u.

Lattice parameters (Å, degrees): 4.2422 4.2422 3.9613 90.00 90.00 90.00
Last column: magnetic moment on the atom in μB.
Sites, in units of the cell vectors:
Ba 0.5000 0.5000 0.5000  0.15
Ir 0.0000 0.0000 0.5000  0.25
Tc 0.0000 0.5000 0.0000  1.78
Tc 0.5000 0.0000 0.0000  1.78